DFT (PBE) results for a geometry-optimized Y2SbRu structure.

Output
Uncorrected formation energy in eV per atom: -0.4639
SG: No. 71

a b c (Å): 5.348 5.348 5.098
angles (deg): 61.54 61.54 48.07
Element x y z (fractional)
1 Y 0.027 0.027 0.973
2 Y 0.473 0.473 0.527
3 Sb 0.250 0.250 0.250
4 Ru 0.750 0.750 0.750